[1]
Density functional theory data (GGA-PBE) for crystalline Sc4TcTe at its relaxed geometry.

The structure belongs to space group Pnma (No. 62); the cell edges are 7.484, 3.950 and 18.102 Å and the angles 90.00°, 90.00° and 90.00°. The inequivalent atoms are Sc at (0.004, 0.250, 0.065), Sc at (0.075, 0.750, 0.207), Sc at (0.112, 0.750, 0.641), Sc at (0.146, 0.750, 0.459), Tc at (0.249, 0.250, 0.560) and Te at (0.234, 0.750, 0.804).

The energy relative to the elements, uncorrected comes out at -3.3 eV/f.u. The energy above the most stable polymorph in this dataset comes out at 0.0 meV per atom.

***

[2]
Density functional theory data (GGA-PBE) for crystalline LiSn2Pt at its relaxed geometry.

The structure belongs to space group P4/mmm (No. 123); the cell edges are 4.440, 4.440 and 3.931 Å and the angles 90.00°, 90.00° and 90.00°. The inequivalent atoms are Li at (0.000, 0.000, 0.000), Sn at (0.000, 0.500, 0.500) and Pt at (0.500, 0.500, 0.000).

The calculation puts the calculated formation energy at -33 kJ per mole of atoms.

***

[3]
Density functional theory data (GGA-PBE) for crystalline La2Tm3Pd2 at its relaxed geometry.

The structure belongs to space group C2/m (No. 12); the cell edges are 12.685, 3.730 and 9.189 Å and the angles 90.00°, 118.08° and 90.00°. The inequivalent atoms are La at (0.157, 0.000, 0.315), Tm at (0.000, 0.500, 0.500), Tm at (0.116, 0.500, 0.941) and Pd at (0.163, 0.000, 0.742).

The calculation puts the calculated formation energy at -52 kJ per mole of atoms.

***

[4]
Density functional theory data (GGA-PBE) for crystalline KNbCl6 at its relaxed geometry.

The structure belongs to space group R3m (No. 160, hexagonal axes); the cell edges are 7.2134, 7.2134 and 17.6557 Å and the angles 90.00°, 90.00° and 120.00°. The inequivalent atoms are K at (0.0000, 0.0000, 0.0000), Nb at (0.0000, 0.0000, 0.2504), Cl at (0.0217, 0.5108, 0.9951) and Cl at (0.1775, 0.3550, 0.8391).

The energy relative to the elements, uncorrected comes out at -11.5 eV/f.u. The energy above the most stable polymorph in this dataset comes out at 2.7 meV per atom.

***

[5]
Density functional theory data (GGA-PBE) for crystalline CdAs2PdPt at its relaxed geometry.

The structure belongs to space group P4/mmm (No. 123); the cell edges are 4.733, 4.733 and 5.072 Å and the angles 90.00°, 90.00° and 90.00°. The inequivalent atoms are Cd at (0.000, 0.000, 0.000), As at (0.000, 0.500, 0.500), Pd at (0.000, 0.000, 0.500) and Pt at (0.500, 0.500, 0.000).

The calculation puts the calculated formation energy at 57 kJ per mole of atoms.

***

[6]
Density functional theory data (GGA-PBE) for crystalline MnCuSn2 at its relaxed geometry.

The structure belongs to space group R-3m (No. 166, hexagonal axes); the cell edges are 3.1936, 3.1936 and 27.9049 Å and the angles 90.00°, 90.00° and 120.00°. The inequivalent atoms are Mn at (0.0000, 0.0000, 0.0000), Cu at (0.0000, 0.0000, 0.5000) and Sn at (0.0000, 0.0000, 0.4093).

The calculation puts the calculated formation energy at 30 kJ per mole of atoms.

***

[7]
Density functional theory data (GGA-PBE) for crystalline CaMo2Br at its relaxed geometry.

The structure belongs to space group R3m (No. 160, hexagonal axes); the cell edges are 3.4180, 3.4180 and 26.9300 Å and the angles 90.00°, 90.00° and 120.00°. The inequivalent atoms are Ca at (0.0000, 0.0000, 0.0000), Mo at (0.0000, 0.0000, 0.4884), Mo at (0.0000, 0.0000, 0.7653) and Br at (0.0000, 0.0000, 0.2541).

The energy relative to the elements, uncorrected comes out at 0.4 eV/f.u. The energy above the most stable polymorph in this dataset comes out at 93.6 meV per atom.

***

[8]
Density functional theory data (GGA-PBE) for crystalline Y2ScMn2 at its relaxed geometry.

The structure belongs to space group P4/mbm (No. 127); the cell edges are 7.415, 7.415 and 4.139 Å and the angles 90.00°, 90.00° and 90.00°. The inequivalent atoms are Y at (0.170, 0.330, 0.000), Sc at (0.000, 0.000, 0.500) and Mn at (0.123, 0.623, 0.500).

The energy above the most stable polymorph in this dataset comes out at 0.0 meV per atom. The calculation puts the calculated formation energy at 11 kJ per mole of atoms.

***

| no. | M_tot (μB/cell) | total DFT energy (no corrections) (eV per atom) |
| --- | --- | --- |
| 1 | 0.0 | -7.020 |
| 2 | 0.0 | -4.327 |
| 3 | 0.0 | -5.348 |
| 4 | 0.0 | -4.224 |
| 5 | 0.0 | -3.697 |
| 6 | 8.6 | -5.005 |
| 7 | 0.0 | -6.228 |
| 8 | 8.7 | -7.403 |